No. 1
A plane-wave DFT calculation with PBE was carried out for a relaxed KTl2CoCl6 crystal.

It has space group P2_1/c (No. 14), with a = 7.012 Å, b = 7.774 Å, c = 12.455 Å, α = 90.00°, β = 123.42° and γ = 90.00°. The distinct sites, in fractional coordinates, are K at (0.000, 0.000, 0.000), Tl at (0.220, 0.058, 0.743), Co at (0.500, 0.000, 0.500), Cl at (0.206, 0.159, 0.476), Cl at (0.283, 0.744, 0.945) and Cl at (0.370, 0.044, 0.290).

The calculation puts the formation energy from raw total energies at -97 kJ per mole of atoms.

No. 2
A plane-wave DFT calculation with PBE was carried out for a relaxed Tb7Dy2Th3 crystal.

It has space group R-3m (No. 166, hexagonal axes), with a = 6.4254 Å, b = 6.4254 Å, c = 33.5594 Å, α = 90.00°, β = 90.00° and γ = 120.00°. The distinct sites, in fractional coordinates, are Tb at (0.0000, 0.0000, 0.0000), Tb at (0.0051, 0.5026, 0.4151), Dy at (0.0000, 0.0000, 0.1662), Th at (0.0000, 0.0000, 0.3460) and Th at (0.0000, 0.0000, 0.5000).

No. 3
A plane-wave DFT calculation with PBE was carried out for a relaxed HoMgScCr crystal.

It has space group F-43m (No. 216), with a = 7.118 Å, b = 7.118 Å, c = 7.118 Å, α = 90.00°, β = 90.00° and γ = 90.00°. The distinct sites, in fractional coordinates, are Ho at (0.000, 0.000, 0.000), Mg at (0.250, 0.250, 0.250), Sc at (0.000, 0.000, 0.500) and Cr at (0.250, 0.250, 0.750).

No. 4
A plane-wave DFT calculation with PBE was carried out for a relaxed PbCl2F6 crystal.

It has space group C2/c (No. 15), with a = 12.496 Å, b = 8.742 Å, c = 7.550 Å, α = 90.00°, β = 121.81° and γ = 90.00°. The distinct sites, in fractional coordinates, are Pb at (0.000, 0.155, 0.250), Cl at (0.206, 0.368, 0.158), F at (0.058, 0.279, 0.986), F at (0.140, 0.042, 0.651) and F at (0.146, 0.353, 0.392).

The calculation puts the formation energy from raw total energies at -98 kJ per mole of atoms.

No. 5
A plane-wave DFT calculation with PBE was carried out for a relaxed TeSeN2 crystal.

It has space group I-42d (No. 122), with a = 5.903 Å, b = 5.903 Å, c = 7.368 Å, α = 90.00°, β = 90.00° and γ = 90.00°. The distinct sites, in fractional coordinates, are Te at (0.000, 0.000, 0.000), Se at (0.000, 0.000, 0.500) and N at (0.242, 0.250, 0.625).

The calculation puts the formation energy from raw total energies at 138 kJ per mole of atoms. The polymorph energy (0 for the lowest one) is 1365 meV per atom.

No. 6
A plane-wave DFT calculation with PBE was carried out for a relaxed Mg2PIr crystal.

It has space group I4/mmm (No. 139), with a = 3.884 Å, b = 3.884 Å, c = 8.101 Å, α = 90.00°, β = 90.00° and γ = 90.00°. The distinct sites, in fractional coordinates, are Mg at (0.000, 0.500, 0.250), P at (0.000, 0.000, 0.000) and Ir at (0.000, 0.000, 0.500).

No. 7
A plane-wave DFT calculation with PBE was carried out for a relaxed Dy6Ho3Er crystal.

It has space group Cmc2_1 (No. 36), with a = 10.921 Å, b = 18.846 Å, c = 6.145 Å, α = 90.00°, β = 90.00° and γ = 90.00°. The distinct sites, in fractional coordinates, are Dy at (0.000, 0.047, 0.000), Dy at (0.000, 0.281, 0.725), Dy at (0.165, 0.454, 0.617), Dy at (0.246, 0.290, 0.441), Ho at (0.000, 0.390, 0.152), Ho at (0.170, 0.109, 0.539) and Er at (0.000, 0.206, 0.224).

The polymorph energy (0 for the lowest one) is 24 meV per atom.

No. 8
A plane-wave DFT calculation with PBE was carried out for a relaxed MgMnMo2 crystal.

It has space group Pmmm (No. 47), with a = 2.649 Å, b = 4.381 Å, c = 5.322 Å, α = 90.00°, β = 90.00° and γ = 90.00°. The distinct sites, in fractional coordinates, are Mg at (0.000, 0.000, 0.000), Mn at (0.000, 0.000, 0.500) and Mo at (0.500, 0.500, 0.255).

What did we get for calculated density? Answer: 4.22, 8.86, 5.27, 3.72, 6.07, 7.39, 8.60, 7.29 g/cm3, in the order shown.
What did we get for final energy? Answer: -34.1, -59.5, -21.5, -27.8, -17.6, -18.3, -44.4, -31.1 eV/f.u., in the order shown.